*a*
The following is a PBE calculation of crystalline SrNdTl at its relaxed geometry, from the Alexandria database.

a b c (Å): 5.1052 5.1052 8.5303
angles (deg): 90.02 90.02 90.00
Positions (direct):
Sr  0.8135  0.8664  0.5575
Sr  0.3136  0.3666  0.2817
Nd  0.8135  0.3665  0.9196
Nd  0.3136  0.8664  0.9196
Tl  0.8137  0.8665  0.1612
Tl  0.3135  0.3664  0.6780

---

*b*
The following is a PBE calculation of crystalline SrNdTl at its relaxed geometry, from the Alexandria database.

a b c (Å): 4.0381 5.5237 5.5237
angles (deg): 120.00 90.00 90.00
Positions (direct):
Sr  0.3565  0.3333  0.6667
Tl  0.7416  0.6667  0.3333
Nd  0.9019  0.0000  0.0000

---

Most stable structure - *a*; separation to the second - 10.7 kJ/mol of atoms.